Nb6MoRu3, relaxed, DFT PBE-GGA; final energy = -10.141 eV/atom; space group = P2_1/m, No. 11; crystal system = monoclinic; size of the total moment = 0.0 μB/f.u.; calculated volume = 166.07 Å³/f.u.; density of states at the Fermi level = 0.493 states/eV per atom; E_form = -233 meV per atom
1.0
4.542 0.000 0.000
0.000 7.516 -2.299
0.000 0.220 9.661
Nb Mo Ru
12 2 6
direct
0.250 0.451 0.101
0.750 0.549 0.899
0.250 0.152 0.196
0.750 0.848 0.804
0.250 0.650 0.699
0.750 0.350 0.301
0.250 0.247 0.500
0.750 0.753 0.500
0.250 0.852 0.302
0.750 0.148 0.698
0.250 0.051 0.898
0.750 0.949 0.102
0.250 0.951 0.601
0.750 0.049 0.399
0.250 0.551 0.399
0.750 0.449 0.601
0.250 0.355 0.801
0.750 0.645 0.199
0.250 0.743 0.003
0.750 0.257 0.997